No. 1
Al2SiTc | Alexandria | PBE | optimized geometry; electronic total energy = -24.02 eV per cell; space group = I4/mmm; formation energy without anion corrections = -0.1873 eV per atom; M_tot = 0.00 μB per cell
1.0
4.791 0.007 0.000
1.824 4.431 0.000
-3.308 -2.219 2.664
Al Si Tc
2 1 1
Direct
0.000 0.000 0.000
0.500 0.500 0.000
0.250 0.750 0.500
0.750 0.250 0.500

=====

No. 2
Al2SiTc | Alexandria | PBE | optimized geometry; electronic total energy = -24.63 eV per cell; space group = P4/mmm; formation energy without anion corrections = -0.3392 eV per atom; M_tot = 0.00 μB per cell
1.0
3.294 0.000 0.000
0.000 3.295 0.000
0.000 0.000 5.228
Al Si Tc
2 1 1
Direct
0.000 0.000 0.503
0.000 0.000 0.997
0.500 0.500 0.250
0.500 0.500 0.750

=====

No. 3
Al2SiTc | Alexandria | PBE | optimized geometry; electronic total energy = -24.32 eV per cell; space group = Amm2; formation energy without anion corrections = -0.2610 eV per atom; M_tot = 0.00 μB per cell
1.0
3.883 0.000 0.000
0.000 3.245 -0.021
0.000 1.648 4.843
Al Tc Si
2 1 1
Direct
0.000 0.961 0.954
0.500 0.285 0.305
0.500 0.557 0.760
0.000 0.697 0.480

=====

No. 4
AlSi3Tc | Alexandria | PBE | optimized geometry; excess energy over the best structure of this formula in the dataset = 0 meV per atom; electronic total energy = -27.81 eV per cell; space group = Pm-3m; formation energy without anion corrections = 0.5139 eV per atom; M_tot = 0.00 μB per cell
1.0
-1.313 3.206 -3.126
-3.290 -2.900 -1.593
-3.038 1.755 3.077
Si Tc Al
3 1 1
Direct
0.500 0.000 0.000
0.000 0.000 0.500
0.000 0.500 0.000
0.000 0.000 0.000
0.500 0.500 0.500

=====

No. 5
AlSiTc2 | Alexandria | PBE | optimized geometry; excess energy over the best structure of this formula in the dataset = 367 meV per atom; electronic total energy = -30.05 eV per cell; space group = F-43m; formation energy without anion corrections = -0.0390 eV per atom; M_tot = 0.00 μB per cell
1.0
4.294 0.000 0.000
2.147 3.719 0.000
2.147 1.240 3.506
Tc Al Si
2 1 1
Direct
0.250 0.250 0.250
0.000 0.000 0.000
0.500 0.500 0.500
0.750 0.750 0.750

=====

No. 6
Al2SiTc2 | Alexandria | PBE | optimized geometry; excess energy over the best structure of this formula in the dataset = 360 meV per atom; electronic total energy = -67.26 eV per cell; space group = P4/mbm; formation energy without anion corrections = 0.0022 eV per atom; M_tot = 0.00 μB per cell
1.0
6.649 0.000 0.000
0.000 6.649 0.000
0.000 0.000 3.243
Al Si Tc
4 2 4
Direct
0.368 0.868 0.000
0.132 0.368 0.000
0.632 0.132 0.000
0.868 0.632 0.000
0.000 0.000 0.000
0.500 0.500 0.000
0.670 0.830 0.500
0.170 0.670 0.500
0.830 0.330 0.500
0.330 0.170 0.500

=====

No. 7
AlSi2Tc2 | Alexandria | PBE | optimized geometry; excess energy over the best structure of this formula in the dataset = 0 meV per atom; electronic total energy = -37.23 eV per cell; space group = I4/mmm; formation energy without anion corrections = -0.3821 eV per atom; M_tot = 0.00 μB per cell
1.0
-1.359 3.083 0.172
-1.957 -0.715 -2.653
-6.207 -1.041 2.714
Tc Si Al
2 2 1
Direct
0.390 0.390 0.221
0.610 0.610 0.779
0.250 0.750 0.500
0.750 0.250 0.500
0.000 0.000 0.000

=====

No. 8
AlSiTc2 | Alexandria | PBE | optimized geometry; excess energy over the best structure of this formula in the dataset = 181 meV per atom; electronic total energy = -30.80 eV per cell; space group = R-3m; formation energy without anion corrections = -0.2253 eV per atom; M_tot = 0.00 μB per cell
1.0
-6.024 5.147 -2.085
-7.239 2.647 -2.778
-7.360 3.599 -0.079
Al Tc Si
1 2 1
Direct
0.250 0.250 0.250
0.496 0.496 0.496
0.004 0.004 0.004
0.750 0.750 0.750

=====

No. 9
Al2SiTc | Alexandria | PBE | optimized geometry; electronic total energy = -23.10 eV per cell; space group = F-43m; formation energy without anion corrections = 0.0436 eV per atom; M_tot = 0.00 μB per cell
1.0
-2.032 -3.076 -2.246
2.236 -2.571 -2.650
0.587 -4.156 1.011
Al Si Tc
2 1 1
Direct
0.000 0.000 0.000
0.250 0.250 0.250
0.500 0.500 0.500
0.750 0.750 0.750

=====

No. 10
AlSiTc3 | Alexandria | PBE | optimized geometry; excess energy over the best structure of this formula in the dataset = 0 meV per atom; electronic total energy = -36.97 eV per cell; space group = Pm-3m; formation energy without anion corrections = 0.6590 eV per atom; M_tot = 0.00 μB per cell
1.0
-3.130 0.472 3.042
-2.936 -1.762 -2.748
0.925 -3.994 1.572
Al Tc Si
1 3 1
Direct
0.500 0.500 0.500
0.000 0.000 0.500
0.500 0.000 0.000
0.000 0.500 0.000
0.000 0.000 0.000

=====

No. 11
AlSiTc2 | Alexandria | PBE | optimized geometry; excess energy over the best structure of this formula in the dataset = 0 meV per atom; electronic total energy = -31.52 eV per cell; space group = P4mm; formation energy without anion corrections = -0.4063 eV per atom; M_tot = 0.00 μB per cell
1.0
-2.270 2.126 0.308
-0.424 -0.004 -3.097
-3.814 -4.147 0.526
Si Tc Al
1 2 1
Direct
0.500 0.500 0.756
0.000 0.000 0.972
0.500 0.500 0.272
0.000 0.000 0.500

=====

No. 12
AlSiTe | Alexandria | PBE | optimized geometry; electronic total energy = -10.99 eV per cell; space group = F-43m; formation energy without anion corrections = 0.4379 eV per atom; M_tot = 0.00 μB per cell
1.0
4.635 0.000 0.000
2.318 4.014 0.000
2.318 1.338 3.785
Te Si Al
1 1 1
Direct
0.500 0.500 0.500
0.000 0.000 0.000
0.750 0.750 0.750

=====

No. 13
AlSi4Te | Alexandria | PBE | optimized geometry; electronic total energy = -25.44 eV per cell; space group = F-43m; formation energy without anion corrections = 0.5220 eV per atom; M_tot = 0.00 μB per cell
1.0
3.121 -3.741 2.086
-0.857 -1.713 4.941
-1.898 -4.879 0.821
Si Te Al
4 1 1
Direct
0.878 0.374 0.374
0.374 0.878 0.374
0.374 0.374 0.878
0.374 0.374 0.374
0.750 0.750 0.750
0.000 0.000 0.000

=====

No. 14
AlSiTe | Alexandria | PBE | optimized geometry; electronic total energy = -10.15 eV per cell; space group = F-43m; formation energy without anion corrections = 0.7176 eV per atom; M_tot = 0.00 μB per cell
1.0
-3.456 -1.354 -3.012
1.004 -2.964 -3.613
-1.614 -4.499 0.081
Te Si Al
1 1 1
Direct
0.750 0.750 0.750
0.500 0.500 0.500
0.000 0.000 0.000

=====

No. 15
AlSi2Te8 | Alexandria | PBE | optimized geometry; electronic total energy = -39.73 eV per cell; space group = C2/m; formation energy without anion corrections = -0.0006 eV per atom; M_tot = 0.00 μB per cell
1.0
-0.034 -2.039 5.915
8.049 -0.401 1.586
3.979 6.096 3.802
Al Te Si
1 8 2
Direct
0.000 0.000 0.000
0.184 0.336 0.336
0.220 0.816 0.816
0.816 0.664 0.664
0.780 0.184 0.184
0.289 0.816 0.314
0.711 0.184 0.686
0.289 0.314 0.816
0.711 0.686 0.184
0.388 0.167 0.167
0.612 0.833 0.833

=====

No. 16
AlSi3Te | Alexandria | PBE | optimized geometry; excess energy over the best structure of this formula in the dataset = 0 meV per atom; electronic total energy = -19.17 eV per cell; space group = Pm-3m; formation energy without anion corrections = 0.7965 eV per atom; M_tot = 0.00 μB per cell
1.0
-4.107 -0.243 2.523
-1.350 -3.856 -2.568
2.145 -2.891 3.214
Si Al Te
3 1 1
Direct
0.000 0.000 0.500
0.500 0.000 0.000
0.000 0.500 0.000
0.000 0.000 0.000
0.500 0.500 0.500

=====

No. 17
AlSiTe | Alexandria | PBE | optimized geometry; electronic total energy = -11.56 eV per cell; space group = I4mm; formation energy without anion corrections = 0.2499 eV per atom; M_tot = 0.00 μB per cell
1.0
5.898 -0.504 0.430
5.084 2.956 0.797
0.814 -0.177 3.475
Al Te Si
1 1 1
Direct
0.969 0.969 0.031
0.638 0.638 0.362
0.394 0.394 0.606

=====

No. 18
AlSiTe | Alexandria | PBE | optimized geometry; electronic total energy = -11.77 eV per cell; space group = P3m1; formation energy without anion corrections = 0.1803 eV per atom; M_tot = 0.00 μB per cell
1.0
-3.900 -0.059 -0.736
2.142 -3.320 -0.381
-0.867 -1.098 4.685
Si Te Al
1 1 1
Direct
0.667 0.333 0.287
0.333 0.667 0.672
0.000 0.000 0.041

=====

No. 19
Al2SiTe6 | Alexandria | PBE | optimized geometry; electronic total energy = -67.00 eV per cell; space group = C2/c; formation energy without anion corrections = -0.1936 eV per atom; M_tot = 0.00 μB per cell
1.0
9.124 0.297 0.288
3.181 8.895 -0.489
3.181 -0.200 8.906
Te Al Si
12 4 2
Direct
0.621 0.353 0.487
0.517 0.893 0.840
0.017 0.840 0.893
0.121 0.487 0.353
0.983 0.160 0.107
0.271 0.392 0.897
0.879 0.513 0.647
0.229 0.103 0.608
0.771 0.897 0.392
0.379 0.647 0.513
0.729 0.608 0.103
0.483 0.107 0.160
0.502 0.162 0.419
0.002 0.419 0.162
0.498 0.838 0.581
0.998 0.581 0.838
0.750 0.874 0.126
0.250 0.126 0.874

=====

No. 20
AlVSiTe2 | Alexandria | PBE | optimized geometry; electronic total energy = -21.01 eV per cell; space group = P4/mmm; formation energy without anion corrections = 0.7115 eV per atom; M_tot = 3.10 μB per cell
1.0
-1.828 5.077 -0.102
-0.131 -0.142 -4.718
-5.076 -1.824 0.196
Te Si V Al
2 1 1 1
Direct
0.500 0.000 0.000
0.000 0.000 0.500
0.000 0.000 0.000
0.000 0.500 0.000
0.500 0.500 0.500

=====

No. 21
Th3Al4Si2 | Alexandria | PBE | optimized geometry; electronic total energy = -52.69 eV per cell; space group = C2/m; formation energy without anion corrections = -0.5126 eV per atom; M_tot = 0.00 μB per cell
1.0
-2.719 0.611 3.283
-2.913 -1.892 -4.885
2.548 -7.366 3.481
Al Th Si
4 3 2
Direct
0.947 0.894 0.615
0.053 0.106 0.385
0.276 0.553 0.939
0.724 0.447 0.061
0.000 0.000 0.000
0.331 0.662 0.338
0.669 0.338 0.662
0.609 0.218 0.277
0.391 0.782 0.723

=====

No. 22
Th2AlSi | Alexandria | PBE | optimized geometry; excess energy over the best structure of this formula in the dataset = 1 meV per atom; electronic total energy = -26.15 eV per cell; space group = Amm2; formation energy without anion corrections = -0.5357 eV per atom; M_tot = 0.00 μB per cell
1.0
4.075 0.000 0.000
0.000 4.160 -1.577
0.000 -0.097 6.020
Si Al Th
1 1 2
Direct
0.500 0.551 0.103
0.000 0.695 0.391
0.500 0.269 0.537
0.000 0.984 0.968

=====

No. 23
Th2AlSi | Alexandria | PBE | optimized geometry; excess energy over the best structure of this formula in the dataset = 0 meV per atom; electronic total energy = -52.31 eV per cell; space group = P2_1/m; formation energy without anion corrections = -0.5370 eV per atom; M_tot = 0.00 μB per cell
1.0
-3.504 0.728 -1.927
1.528 -3.969 -4.279
-4.475 -3.889 6.667
Th Al Si
4 2 2
Direct
0.750 0.219 0.924
0.250 0.788 0.567
0.250 0.781 0.076
0.750 0.212 0.433
0.250 0.354 0.215
0.750 0.646 0.785
0.750 0.643 0.287
0.250 0.357 0.713

=====

No. 24
Th2AlSi | Alexandria | PBE | optimized geometry; excess energy over the best structure of this formula in the dataset = 734 meV per atom; electronic total energy = -23.22 eV per cell; space group = R-3m; formation energy without anion corrections = 0.1975 eV per atom; M_tot = 0.00 μB per cell
1.0
-2.277 3.073 0.447
-2.426 0.181 2.986
5.522 5.539 6.635
Si Th Al
1 2 1
Direct
0.500 0.500 0.500
0.893 0.893 0.320
0.107 0.107 0.680
0.000 0.000 0.000

=====

No. 25
Th3Al3Si | Alexandria | PBE | optimized geometry; electronic total energy = -83.81 eV per cell; space group = C2/m; formation energy without anion corrections = -0.4279 eV per atom; M_tot = 0.00 μB per cell
1.0
-0.960 -2.135 3.562
-1.806 -5.627 -1.309
13.147 -5.236 2.956
Th Al Si
6 6 2
Direct
0.602 0.719 0.078
0.398 0.281 0.922
0.587 0.226 0.601
0.772 0.677 0.780
0.228 0.323 0.220
0.413 0.774 0.399
0.111 0.851 0.927
0.941 0.886 0.232
0.889 0.149 0.073
0.890 0.655 0.564
0.110 0.345 0.436
0.059 0.114 0.768
0.279 0.809 0.632
0.721 0.191 0.368

=====

No. 26
ThAlSi | Alexandria | PBE | optimized geometry; electronic total energy = -17.26 eV per cell; space group = I4mm; formation energy without anion corrections = -0.2265 eV per atom; M_tot = 0.00 μB per cell
1.0
3.464 0.000 0.000
0.000 3.464 0.000
-1.732 -1.732 5.392
Th Si Al
1 1 1
Direct
0.620 0.620 0.239
0.314 0.314 0.628
0.916 0.916 0.832

=====

No. 27
TiAlSi3 | Alexandria | PBE | optimized geometry; electronic total energy = -22.76 eV per cell; space group = Pm-3m; formation energy without anion corrections = 1.0286 eV per atom; M_tot = 0.00 μB per cell
1.0
-4.157 -2.058 -0.321
-0.147 -0.426 4.628
-2.078 4.148 0.316
Si Al Ti
3 1 1
Direct
0.000 0.500 0.000
0.500 0.000 0.000
0.000 0.000 0.500
0.000 0.000 0.000
0.500 0.500 0.500

=====

No. 28
TiAl3Si | Alexandria | PBE | optimized geometry; excess energy over the best structure of this formula in the dataset = 291 meV per atom; electronic total energy = -19.27 eV per cell; space group = Pm-3m; formation energy without anion corrections = 1.0553 eV per atom; M_tot = 1.18 μB per cell
1.0
4.942 0.000 0.000
0.000 4.942 0.000
0.000 0.000 4.942
Al Ti Si
3 1 1
Direct
0.500 0.000 0.000
0.000 0.000 0.500
0.000 0.500 0.000
0.000 0.000 0.000
0.500 0.500 0.500